DFT (PBE) results for a geometry-optimized AlGe2Ir2 structure.

Output
Energy relative to the elements, eV/atom: -0.104
Calculated density, Mg/m³: 11.6
Total magnetic moment, μB per formula unit: 0.00

Unit cell a=7.433 b=7.433 c=2.875 alpha=90.00 beta=90.00 gamma=90.00
Space group P4/mbm (No. 127)
Unique sites:
Al 0.000 0.000 0.000 [2 per cell]
Ge 0.151 0.349 0.500 [4 per cell]
Ir 0.147 0.647 0.000 [4 per cell]

***

DFT (PBE) results for a geometry-optimized AlGeIr structure.

Output
Energy relative to the elements, eV/atom: -0.478
Calculated density, Mg/m³: 9.3
Total magnetic moment, μB per formula unit: 0.00

Unit cell a=4.2441 b=4.2441 c=19.9424 alpha=90.00 beta=90.00 gamma=120.00
Space group R-3m (No. 166, hexagonal axes)
Unique sites:
Al 0.0000 0.0000 0.1261 [6 per cell]
Ge 0.0000 0.0000 0.3856 [6 per cell]
Ir 0.0000 0.0000 0.2532 [6 per cell]

***

DFT (PBE) results for a geometry-optimized Al2Ge2Ir structure.

Output
ΔE to the lowest computed polymorph, meV/atom: 168.8
Energy relative to the elements, eV/atom: 0.198
Calculated density, Mg/m³: 7.4
Total magnetic moment, μB per formula unit: 0.00

Unit cell a=3.409 b=3.409 c=15.044 alpha=90.00 beta=90.00 gamma=90.00
Space group I4/mmm (No. 139)
Unique sites:
Al 0.000 0.000 0.088 [4 per cell]
Ge 0.000 0.500 0.250 [4 per cell]
Ir 0.000 0.000 0.500 [2 per cell]

***

- The lowest calculated density belongs to which entry?
  Al2Ge2Ir

***

- What is the formula in the second record?
  AlGeIr

***

- What is the formula in the third record?
  Al2Ge2Ir

***

Please write out number 2 again, unchanged.
DFT (PBE) results for a geometry-optimized AlGeIr structure.

Output
Energy relative to the elements, eV/atom: -0.478
Calculated density, Mg/m³: 9.3
Total magnetic moment, μB per formula unit: 0.00

Unit cell a=4.2441 b=4.2441 c=19.9424 alpha=90.00 beta=90.00 gamma=120.00
Space group R-3m (No. 166, hexagonal axes)
Unique sites:
Al 0.0000 0.0000 0.1261 [6 per cell]
Ge 0.0000 0.0000 0.3856 [6 per cell]
Ir 0.0000 0.0000 0.2532 [6 per cell]